No. 1
InPW2: relaxed, PBE-GGA.

```
InPW2
1.0
-2.923 -4.017 -0.194
0.124 -1.996 -4.552
3.594 1.372 3.150
P In W
1 1 2
direct
0.750 0.250 0.500
0.500 0.500 0.000
0.250 0.750 0.500
0.000 0.000 0.000
```

Output
Energy above the most stable polymorph in this dataset, meV per atom: 616
Energy of formation from the pure elements, kJ/mol of formula units: 272

No. 2
SiSb4Pt: relaxed, PBE-GGA.

```
SiSb4Pt
1.0
2.385 -4.902 -2.609
-3.389 -3.441 -3.634
1.043 -0.049 -5.953
Si Sb Pt
1 4 1
direct
0.750 0.750 0.750
0.375 0.375 0.876
0.375 0.375 0.375
0.876 0.375 0.375
0.375 0.876 0.375
0.000 0.000 0.000
```

Output
E_tot, eV per atom: -3.8296